# 1
A plane-wave DFT calculation with PBE-GGA was carried out for Ac6AsIr2Cl3 after structural relaxation.

total magnetization = 0.0 μB per formula unit
energy relative to the elements, uncorrected = -16.16 eV per formula unit

Geometry as POSCAR:
```
Ac6AsIr2Cl3
1.0
4.357 0.000 0.000
0.000 8.978 0.140
-2.179 -2.796 10.064
Ac Cl As Ir
6 3 1 2
direct
0.338 0.900 0.676
0.024 0.255 0.048
0.662 0.100 0.324
0.976 0.745 0.952
0.681 0.563 0.361
0.319 0.437 0.639
0.500 0.500 0.000
0.129 0.799 0.257
0.871 0.201 0.743
0.500 0.000 0.000
0.828 0.671 0.657
0.172 0.329 0.343
```

# 2
A plane-wave DFT calculation with PBE-GGA was carried out for Ba2Li2Hg after structural relaxation.

total magnetization = 0.0 μB per formula unit
formation enthalpy at 0 K = -0.16 eV/atom

Geometry as POSCAR:
```
Ba2Li2Hg
1.0
4.177 0.000 0.000
0.000 4.177 0.000
2.088 2.088 10.491
Ba Li Hg
2 2 1
direct
0.402 0.402 0.196
0.598 0.598 0.804
0.750 0.250 0.500
0.250 0.750 0.500
0.000 0.000 0.000
```

# 3
A plane-wave DFT calculation with PBE-GGA was carried out for Ac14PrTl after structural relaxation.

total magnetization = 0.0 μB per formula unit
formation enthalpy at 0 K = -0.02 eV/atom

Geometry as POSCAR:
```
Ac14PrTl
1.0
-7.784 -0.235 0.975
-0.925 -1.248 -7.693
0.546 -10.975 1.714
Ac Pr Tl
14 1 1
direct
0.123 0.373 0.757
0.626 0.374 0.243
0.375 0.125 0.000
0.875 0.625 0.000
0.124 0.876 0.757
0.627 0.877 0.757
0.375 0.125 0.500
0.875 0.125 0.500
0.875 0.625 0.500
0.375 0.625 0.500
0.123 0.373 0.243
0.627 0.877 0.243
0.626 0.374 0.757
0.124 0.876 0.243
0.375 0.625 0.000
0.875 0.125 0.000
```

Number 1 is which compound? Ac6AsIr2Cl3